Entry 1:
# Na3YEr2O6

Crystalline Na3YEr2O6 at its relaxed geometry (PBE, the Alexandria database).

crystal system: monoclinic
calculated volume: 13.99 A^3/atom
size of the total moment: 0.000 μB/atom
energy: -6.928 eV per atom
symmetry: C2/m, No. 12

Lattice parameters (Å, degrees): 5.8950 5.8950 5.9128 99.56 99.56 120.00
Closest atoms and distances in Å follow each position.
Atoms (fractional coordinates):
Na (0.0000, 0.0000, 0.0000)  6 O 2.53-2.55
Na (0.3323, 0.6677, 0.0000)  6 O 2.52-2.56
Na (0.6677, 0.3323, 0.0000)  6 O 2.52-2.56
Y (0.5000, 0.5000, 0.5000)  6 O 2.30-2.31
Er (0.1666, 0.8334, 0.5000)  6 O 2.28
Er (0.8334, 0.1666, 0.5000)  6 O 2.28
O (0.0934, 0.4300, 0.2900)  2 Er 2.28, 1 Y 2.30, 3 Na 2.52-2.55
O (0.2335, 0.2335, 0.7104)  2 Er 2.28, 1 Y 2.31, 1 Na 2.53
O (0.4300, 0.0934, 0.2900)  2 Er 2.28, 1 Y 2.30, 3 Na 2.52-2.55
O (0.5700, 0.9066, 0.7100)  2 Er 2.28, 1 Y 2.30, 3 Na 2.52-2.55
O (0.7665, 0.7665, 0.2896)  2 Er 2.28, 1 Y 2.31, 1 Na 2.53
O (0.9066, 0.5700, 0.7100)  2 Er 2.28, 1 Y 2.30, 3 Na 2.52-2.55


Entry 2:
# Na2YErO4

Crystalline Na2YErO4 at its relaxed geometry (PBE, the Alexandria database).

crystal system: monoclinic
calculated volume: 14.06 A^3/atom
size of the total moment: 0.000 μB/atom
energy: -6.996 eV per atom
symmetry: P2/m, No. 10

Lattice parameters (Å, degrees): 5.9086 3.4110 5.9179 90.00 109.44 90.00
Closest atoms and distances in Å follow each position.
Atoms (fractional coordinates):
Na (0.0000, 0.0000, 0.0000)  6 O 2.56
Na (0.5000, 0.5000, 0.0000)  6 O 2.54
Y (0.0000, 0.5000, 0.5000)  6 O 2.30-2.31
Er (0.5000, 0.0000, 0.5000)  6 O 2.28
O (0.2398, 0.0000, 0.7110)  1 Er 2.28, 2 Y 2.30, 2 Na 2.54
O (0.2661, 0.5000, 0.2899)  2 Er 2.28, 1 Y 2.31, 3 Na 2.54-2.56
O (0.7339, 0.5000, 0.7101)  2 Er 2.28, 1 Y 2.31, 3 Na 2.54-2.56
O (0.7602, 0.0000, 0.2890)  1 Er 2.28, 2 Y 2.30, 2 Na 2.54


Entry 3:
# Na2ErZnO4

Crystalline Na2ErZnO4 at its relaxed geometry (PBE, the Alexandria database).

crystal system: monoclinic
calculated volume: 12.77 A^3/atom
size of the total moment: 0.132 μB/atom
energy: -5.476 eV per atom
symmetry: P2/m, No. 10

Lattice parameters (Å, degrees): 5.6539 3.2450 5.9535 90.00 110.68 90.00
Closest atoms and distances in Å follow each position.
Atoms (fractional coordinates):
Na (0.0000, 0.0000, 0.0000)  6 O 2.38-2.54
Na (0.5000, 0.5000, 0.0000)  6 O 2.42-2.51
Er (0.0000, 0.5000, 0.5000)  6 O 2.22-2.30
Zn (0.5000, 0.0000, 0.5000)  4 O 2.11
O (0.2268, 0.0000, 0.7309)  2 Er 2.22, 3 Na 2.38-2.42, 1 Zn 2.40
O (0.2859, 0.5000, 0.3050)  2 Zn 2.11, 1 Er 2.30
O (0.7141, 0.5000, 0.6950)  2 Zn 2.11, 1 Er 2.30
O (0.7732, 0.0000, 0.2691)  2 Er 2.22, 3 Na 2.38-2.42, 1 Zn 2.40